(1)
## ZnCr2Te (GGA-PBE)

Data for ZnCr2Te after structural relaxation.

Cell and atoms, written as CIF:
```
data_ZnCr2Te
_chemical_formula_sum 'Zn1 Cr2 Te1'
_symmetry_space_group_name_H-M 'P 1'
_symmetry_Int_Tables_number 1
_symmetry_space_group_name_Hall 'P 1'
_cell_length_a 3.056
_cell_length_b 3.056
_cell_length_c 7.631
_cell_angle_alpha 90.00
_cell_angle_beta 90.00
_cell_angle_gamma 90.00
loop_
_atom_site_label
_atom_site_fract_x
_atom_site_fract_y
_atom_site_fract_z
_atom_site_occupancy
Zn1 0.000 0.000 0.000 1
Cr1 0.000 0.000 0.354 1
Cr2 0.500 0.500 0.196 1
Te1 0.500 0.500 0.569 1
```

Summary:
Energy above the most stable polymorph in this dataset ... 0.00 eV per formula unit
Space group ... No. 99
Theoretical density ... 6.9 g/cm3
Crystal system ... tetragonal

***

(2)
## ZnCr2Te (GGA-PBE)

Data for ZnCr2Te after structural relaxation.

Cell and atoms, written as CIF:
```
data_ZnCr2Te
_chemical_formula_sum 'Zn1 Cr2 Te1'
_symmetry_space_group_name_H-M 'P 1'
_symmetry_Int_Tables_number 1
_symmetry_space_group_name_Hall 'P 1'
_cell_length_a 4.126
_cell_length_b 3.696
_cell_length_c 5.154
_cell_angle_alpha 90.00
_cell_angle_beta 108.31
_cell_angle_gamma 90.00
loop_
_atom_site_label
_atom_site_fract_x
_atom_site_fract_y
_atom_site_fract_z
_atom_site_occupancy
Zn1 0.000 0.000 0.000 1
Cr1 0.500 0.000 0.500 1
Cr2 0.500 0.500 0.000 1
Te1 0.000 0.500 0.500 1
```

Summary:
Energy above the most stable polymorph in this dataset ... 0.53 eV per formula unit
Space group ... No. 10
Theoretical density ... 6.6 g/cm3
Crystal system ... monoclinic

***

(3)
## Zr3CrTe (GGA-PBE)

Data for Zr3CrTe after structural relaxation.

Cell and atoms, written as CIF:
```
data_Zr3CrTe
_chemical_formula_sum 'Zr3 Cr1 Te1'
_symmetry_space_group_name_H-M 'P 1'
_symmetry_Int_Tables_number 1
_symmetry_space_group_name_Hall 'P 1'
_cell_length_a 4.868
_cell_length_b 4.868
_cell_length_c 4.868
_cell_angle_alpha 90.00
_cell_angle_beta 90.00
_cell_angle_gamma 90.00
loop_
_atom_site_label
_atom_site_fract_x
_atom_site_fract_y
_atom_site_fract_z
_atom_site_occupancy
Zr1 0.000 0.000 0.500 1
Zr2 0.000 0.500 0.000 1
Zr3 0.500 0.000 0.000 1
Cr1 0.000 0.000 0.000 1
Te1 0.500 0.500 0.500 1
```

Summary:
Energy above the most stable polymorph in this dataset ... 0.00 eV per formula unit
Space group ... No. 221
Theoretical density ... 6.5 g/cm3
Crystal system ... cubic

***

(4)
## ZrCrTe4 (GGA-PBE)

Data for ZrCrTe4 after structural relaxation.

Cell and atoms, written as CIF:
```
data_ZrCrTe4
_chemical_formula_sum 'Zr2 Cr2 Te8'
_symmetry_space_group_name_H-M 'P 1'
_symmetry_Int_Tables_number 1
_symmetry_space_group_name_Hall 'P 1'
_cell_length_a 7.001
_cell_length_b 6.859
_cell_length_c 6.918
_cell_angle_alpha 90.00
_cell_angle_beta 91.47
_cell_angle_gamma 90.00
loop_
_atom_site_label
_atom_site_fract_x
_atom_site_fract_y
_atom_site_fract_z
_atom_site_occupancy
Zr1 0.000 0.000 0.000 1
Zr2 0.000 0.500 0.500 1
Cr1 0.500 0.000 0.500 1
Cr2 0.500 0.500 0.000 1
Te1 0.151 0.132 0.369 1
Te2 0.151 0.368 0.869 1
Te3 0.373 0.637 0.360 1
Te4 0.373 0.863 0.860 1
Te5 0.627 0.137 0.140 1
Te6 0.627 0.363 0.640 1
Te7 0.849 0.632 0.131 1
Te8 0.849 0.868 0.631 1
```

Summary:
Space group ... No. 14
Theoretical density ... 6.5 g/cm3
Crystal system ... monoclinic

***

(5)
## ZrCrTe (GGA-PBE)

Data for ZrCrTe after structural relaxation.

Cell and atoms, written as CIF:
```
data_ZrCrTe
_chemical_formula_sum 'Zr1 Cr1 Te1'
_symmetry_space_group_name_H-M 'P 1'
_symmetry_Int_Tables_number 1
_symmetry_space_group_name_Hall 'P 1'
_cell_length_a 3.498
_cell_length_b 3.498
_cell_length_c 6.264
_cell_angle_alpha 90.00
_cell_angle_beta 90.00
_cell_angle_gamma 120.00
loop_
_atom_site_label
_atom_site_fract_x
_atom_site_fract_y
_atom_site_fract_z
_atom_site_occupancy
Zr1 0.000 0.000 0.000 1
Cr1 0.667 0.333 0.323 1
Te1 0.333 0.667 0.651 1
```

Summary:
Space group ... No. 156
Theoretical density ... 6.8 g/cm3
Crystal system ... trigonal

***

(6)
## ZrCrTe4 (GGA-PBE)

Data for ZrCrTe4 after structural relaxation.

Cell and atoms, written as CIF:
```
data_ZrCrTe4
_chemical_formula_sum 'Zr1 Cr1 Te4'
_symmetry_space_group_name_H-M 'P 1'
_symmetry_Int_Tables_number 1
_symmetry_space_group_name_Hall 'P 1'
_cell_length_a 6.205
_cell_length_b 6.205
_cell_length_c 6.205
_cell_angle_alpha 60.00
_cell_angle_beta 60.00
_cell_angle_gamma 60.00
loop_
_atom_site_label
_atom_site_fract_x
_atom_site_fract_y
_atom_site_fract_z
_atom_site_occupancy
Zr1 0.000 0.000 0.000 1
Cr1 0.750 0.750 0.750 1
Te1 0.375 0.375 0.375 1
Te2 0.375 0.375 0.876 1
Te3 0.375 0.876 0.375 1
Te4 0.876 0.375 0.375 1
```

Summary:
Space group ... No. 216
Theoretical density ... 6.4 g/cm3
Crystal system ... cubic

***

(7)
## ZrCr3Te (GGA-PBE)

Data for ZrCr3Te after structural relaxation.

Cell and atoms, written as CIF:
```
data_ZrCr3Te
_chemical_formula_sum 'Zr1 Cr3 Te1'
_symmetry_space_group_name_H-M 'P 1'
_symmetry_Int_Tables_number 1
_symmetry_space_group_name_Hall 'P 1'
_cell_length_a 4.885
_cell_length_b 4.885
_cell_length_c 4.885
_cell_angle_alpha 90.00
_cell_angle_beta 90.00
_cell_angle_gamma 90.00
loop_
_atom_site_label
_atom_site_fract_x
_atom_site_fract_y
_atom_site_fract_z
_atom_site_occupancy
Zr1 0.000 0.000 0.000 1
Cr1 0.000 0.000 0.500 1
Cr2 0.000 0.500 0.000 1
Cr3 0.500 0.000 0.000 1
Te1 0.500 0.500 0.500 1
```

Summary:
Energy above the most stable polymorph in this dataset ... 1.46 eV per formula unit
Space group ... No. 221
Theoretical density ... 5.3 g/cm3
Crystal system ... cubic

***

(8)
## ZrCr4Te (GGA-PBE)

Data for ZrCr4Te after structural relaxation.

Cell and atoms, written as CIF:
```
data_ZrCr4Te
_chemical_formula_sum 'Zr1 Cr4 Te1'
_symmetry_space_group_name_H-M 'P 1'
_symmetry_Int_Tables_number 1
_symmetry_space_group_name_Hall 'P 1'
_cell_length_a 5.002
_cell_length_b 5.002
_cell_length_c 5.002
_cell_angle_alpha 60.00
_cell_angle_beta 60.00
_cell_angle_gamma 60.00
loop_
_atom_site_label
_atom_site_fract_x
_atom_site_fract_y
_atom_site_fract_z
_atom_site_occupancy
Zr1 0.000 0.000 0.000 1
Cr1 0.127 0.624 0.624 1
Cr2 0.624 0.127 0.624 1
Cr3 0.624 0.624 0.127 1
Cr4 0.624 0.624 0.624 1
Te1 0.250 0.250 0.250 1
```

Summary:
Space group ... No. 216
Theoretical density ... 8.0 g/cm3
Crystal system ... cubic

***

(9)
## ZrCrTe (GGA-PBE)

Data for ZrCrTe after structural relaxation.

Cell and atoms, written as CIF:
```
data_ZrCrTe
_chemical_formula_sum 'Zr1 Cr1 Te1'
_symmetry_space_group_name_H-M 'P 1'
_symmetry_Int_Tables_number 1
_symmetry_space_group_name_Hall 'P 1'
_cell_length_a 5.330
_cell_length_b 5.330
_cell_length_c 5.330
_cell_angle_alpha 140.03
_cell_angle_beta 140.03
_cell_angle_gamma 57.80
loop_
_atom_site_label
_atom_site_fract_x
_atom_site_fract_y
_atom_site_fract_z
_atom_site_occupancy
Zr1 0.000 0.000 0.000 1
Cr1 0.339 0.339 0.000 1
Te1 0.669 0.669 0.000 1
```

Summary:
Space group ... No. 107
Theoretical density ... 7.3 g/cm3
Crystal system ... tetragonal

***

(10)
## ZrCrTe (GGA-PBE)

Data for ZrCrTe after structural relaxation.

Cell and atoms, written as CIF:
```
data_ZrCrTe
_chemical_formula_sum 'Zr1 Cr1 Te1'
_symmetry_space_group_name_H-M 'P 1'
_symmetry_Int_Tables_number 1
_symmetry_space_group_name_Hall 'P 1'
_cell_length_a 4.464
_cell_length_b 4.464
_cell_length_c 3.408
_cell_angle_alpha 90.00
_cell_angle_beta 90.00
_cell_angle_gamma 120.00
loop_
_atom_site_label
_atom_site_fract_x
_atom_site_fract_y
_atom_site_fract_z
_atom_site_occupancy
Zr1 0.000 0.000 0.000 1
Cr1 0.333 0.667 0.500 1
Te1 0.667 0.333 0.500 1
```

Summary:
Space group ... No. 187
Theoretical density ... 7.6 g/cm3
Crystal system ... hexagonal

***

(11)
## Zr4CrTe (GGA-PBE)

Data for Zr4CrTe after structural relaxation.

Cell and atoms, written as CIF:
```
data_Zr4CrTe
_chemical_formula_sum 'Zr4 Cr1 Te1'
_symmetry_space_group_name_H-M 'P 1'
_symmetry_Int_Tables_number 1
_symmetry_space_group_name_Hall 'P 1'
_cell_length_a 5.791
_cell_length_b 5.791
_cell_length_c 5.791
_cell_angle_alpha 60.00
_cell_angle_beta 60.00
_cell_angle_gamma 60.00
loop_
_atom_site_label
_atom_site_fract_x
_atom_site_fract_y
_atom_site_fract_z
_atom_site_occupancy
Zr1 0.123 0.123 0.123 1
Zr2 0.123 0.123 0.630 1
Zr3 0.123 0.630 0.123 1
Zr4 0.630 0.123 0.123 1
Cr1 0.750 0.750 0.750 1
Te1 0.500 0.500 0.500 1
```

Summary:
Space group ... No. 216
Theoretical density ... 6.6 g/cm3
Crystal system ... cubic

***

(12)
## ZrCrTe6 (GGA-PBE)

Data for ZrCrTe6 after structural relaxation.

Cell and atoms, written as CIF:
```
data_ZrCrTe6
_chemical_formula_sum 'Zr1 Cr1 Te6'
_symmetry_space_group_name_H-M 'P 1'
_symmetry_Int_Tables_number 1
_symmetry_space_group_name_Hall 'P 1'
_cell_length_a 6.807
_cell_length_b 6.807
_cell_length_c 6.807
_cell_angle_alpha 62.78
_cell_angle_beta 62.78
_cell_angle_gamma 62.78
loop_
_atom_site_label
_atom_site_fract_x
_atom_site_fract_y
_atom_site_fract_z
_atom_site_occupancy
Zr1 0.000 0.000 0.000 1
Cr1 0.500 0.500 0.500 1
Te1 0.075 0.452 0.706 1
Te2 0.294 0.925 0.548 1
Te3 0.452 0.706 0.075 1
Te4 0.548 0.294 0.925 1
Te5 0.706 0.075 0.452 1
Te6 0.925 0.548 0.294 1
```

Summary:
Space group ... No. 148
Theoretical density ... 6.4 g/cm3
Crystal system ... trigonal

***

(13)
## ZrCr3Te (GGA-PBE)

Data for ZrCr3Te after structural relaxation.

Cell and atoms, written as CIF:
```
data_ZrCr3Te
_chemical_formula_sum 'Zr1 Cr3 Te1'
_symmetry_space_group_name_H-M 'P 1'
_symmetry_Int_Tables_number 1
_symmetry_space_group_name_Hall 'P 1'
_cell_length_a 4.842
_cell_length_b 4.842
_cell_length_c 4.842
_cell_angle_alpha 90.00
_cell_angle_beta 90.00
_cell_angle_gamma 90.00
loop_
_atom_site_label
_atom_site_fract_x
_atom_site_fract_y
_atom_site_fract_z
_atom_site_occupancy
Zr1 0.000 0.000 0.000 1
Cr1 0.000 0.500 0.500 1
Cr2 0.500 0.000 0.500 1
Cr3 0.500 0.500 0.000 1
Te1 0.500 0.500 0.500 1
```

Summary:
Energy above the most stable polymorph in this dataset ... 0.00 eV per formula unit
Space group ... No. 221
Theoretical density ... 5.5 g/cm3
Crystal system ... cubic

***

Calculated values (kJ/mol of formula units) of E_form (uncorrected) for the records, taken in order: 121.0; 172.2; 131.1; -189.6; 51.9; 466.4; 732.2; 103.0; -13.2; 10.5; 256.1; -124.8; 591.7.
Calculated values (states/eV/f.u.) of density of states at the Fermi level for the records, taken in order: 2.36; 3.10; 7.89; 4.40; 3.21; 4.46; 4.83; 5.30; 3.14; 3.43; 7.12; 6.51; 8.04.